(1)
# La8Pm6Sc

An optimized crystal structure of La8Pm6Sc (PBE-GGA, Alexandria via LeMat-Bulk).

CIF file:
```
data_La8Pm6Sc
_symmetry_space_group_name_H-M 'P 1'
_symmetry_Int_Tables_number 1
_cell_length_a 8.873
_cell_length_b 8.873
_cell_length_c 8.873
_cell_angle_alpha 63.13
_cell_angle_beta 63.13
_cell_angle_gamma 63.13
loop_
_symmetry_equiv_pos_as_xyz
'x,y,z'
loop_
_atom_site_label
_atom_site_type_symbol
_atom_site_fract_x
_atom_site_fract_y
_atom_site_fract_z
La1 La 0.078 0.078 0.078
La2 La 0.211 0.613 0.257
La3 La 0.257 0.211 0.613
La4 La 0.387 0.743 0.789
La5 La 0.613 0.257 0.211
La6 La 0.743 0.789 0.387
La7 La 0.789 0.387 0.743
La8 La 0.922 0.922 0.922
Pm1 Pm 0.044 0.595 0.745
Pm2 Pm 0.255 0.956 0.405
Pm3 Pm 0.405 0.255 0.956
Pm4 Pm 0.595 0.745 0.044
Pm5 Pm 0.745 0.044 0.595
Pm6 Pm 0.956 0.405 0.255
Sc1 Sc 0.500 0.500 0.500
```

V	35.2	Å³ per atom
density of states at the Fermi level	1.7063	states/eV per atom
E_form	0.107	eV per atom
energy	-4.8435	eV per atom

***

(2)
# La6Pm4Sc

An optimized crystal structure of La6Pm4Sc (PBE-GGA, Alexandria via LeMat-Bulk).

CIF file:
```
data_La6Pm4Sc
_symmetry_space_group_name_H-M 'P 1'
_symmetry_Int_Tables_number 1
_cell_length_a 5.745
_cell_length_b 5.745
_cell_length_c 26.224
_cell_angle_alpha 90.00
_cell_angle_beta 90.00
_cell_angle_gamma 117.39
loop_
_symmetry_equiv_pos_as_xyz
'x,y,z'
loop_
_atom_site_label
_atom_site_type_symbol
_atom_site_fract_x
_atom_site_fract_y
_atom_site_fract_z
La1 La 0.000 0.000 0.000
La2 La 0.000 0.000 0.500
La3 La 0.056 0.944 0.750
La4 La 0.293 0.707 0.105
La5 La 0.293 0.707 0.395
La6 La 0.384 0.616 0.685
La7 La 0.384 0.616 0.815
La8 La 0.616 0.384 0.185
La9 La 0.616 0.384 0.315
La10 La 0.707 0.293 0.605
La11 La 0.707 0.293 0.895
La12 La 0.944 0.056 0.250
Pm1 Pm 0.054 0.946 0.625
Pm2 Pm 0.054 0.946 0.875
Pm3 Pm 0.352 0.648 0.545
Pm4 Pm 0.352 0.648 0.955
Pm5 Pm 0.648 0.352 0.045
Pm6 Pm 0.648 0.352 0.455
Pm7 Pm 0.946 0.054 0.125
Pm8 Pm 0.946 0.054 0.375
Sc1 Sc 0.284 0.716 0.250
Sc2 Sc 0.716 0.284 0.750
```

V	34.9	Å³ per atom
density of states at the Fermi level	1.6007	states/eV per atom
E_form	0.114	eV per atom
energy	-4.8766	eV per atom

***

(3)
# La6Pm8Sc

An optimized crystal structure of La6Pm8Sc (PBE-GGA, Alexandria via LeMat-Bulk).

CIF file:
```
data_La6Pm8Sc
_symmetry_space_group_name_H-M 'P 1'
_symmetry_Int_Tables_number 1
_cell_length_a 8.860
_cell_length_b 8.860
_cell_length_c 8.860
_cell_angle_alpha 63.21
_cell_angle_beta 63.21
_cell_angle_gamma 63.21
loop_
_symmetry_equiv_pos_as_xyz
'x,y,z'
loop_
_atom_site_label
_atom_site_type_symbol
_atom_site_fract_x
_atom_site_fract_y
_atom_site_fract_z
La1 La 0.040 0.736 0.594
La2 La 0.264 0.406 0.960
La3 La 0.406 0.960 0.264
La4 La 0.594 0.040 0.736
La5 La 0.736 0.594 0.040
La6 La 0.960 0.264 0.406
Pm1 Pm 0.078 0.078 0.078
Pm2 Pm 0.208 0.264 0.613
Pm3 Pm 0.264 0.613 0.208
Pm4 Pm 0.387 0.792 0.736
Pm5 Pm 0.613 0.208 0.264
Pm6 Pm 0.736 0.387 0.792
Pm7 Pm 0.792 0.736 0.387
Pm8 Pm 0.922 0.922 0.922
Sc1 Sc 0.500 0.500 0.500
```

V	35.1	Å³ per atom
density of states at the Fermi level	1.6652	states/eV per atom
E_form	0.102	eV per atom
energy	-4.8250	eV per atom

***

(4)
# LaPm2Sc

An optimized crystal structure of LaPm2Sc (PBE-GGA, Alexandria via LeMat-Bulk).

CIF file:
```
data_LaPm2Sc
_symmetry_space_group_name_H-M 'P 1'
_symmetry_Int_Tables_number 1
_cell_length_a 3.612
_cell_length_b 3.612
_cell_length_c 9.956
_cell_angle_alpha 90.00
_cell_angle_beta 90.00
_cell_angle_gamma 90.00
loop_
_symmetry_equiv_pos_as_xyz
'x,y,z'
loop_
_atom_site_label
_atom_site_type_symbol
_atom_site_fract_x
_atom_site_fract_y
_atom_site_fract_z
La1 La 0.000 0.000 0.000
Pm1 Pm 0.500 0.500 0.269
Pm2 Pm 0.500 0.500 0.731
Sc1 Sc 0.000 0.000 0.500
```

V	32.5	Å³ per atom
density of states at the Fermi level	1.9873	states/eV per atom
E_form	0.054	eV per atom
energy	-5.1362	eV per atom

***

(5)
# La8Pm5Sc

An optimized crystal structure of La8Pm5Sc (PBE-GGA, Alexandria via LeMat-Bulk).

CIF file:
```
data_La8Pm5Sc
_symmetry_space_group_name_H-M 'P 1'
_symmetry_Int_Tables_number 1
_cell_length_a 8.671
_cell_length_b 8.671
_cell_length_c 8.671
_cell_angle_alpha 110.22
_cell_angle_beta 110.22
_cell_angle_gamma 107.99
loop_
_symmetry_equiv_pos_as_xyz
'x,y,z'
loop_
_atom_site_label
_atom_site_type_symbol
_atom_site_fract_x
_atom_site_fract_y
_atom_site_fract_z
La1 La 0.080 0.348 0.601
La2 La 0.174 0.449 0.114
La3 La 0.335 0.060 0.886
La4 La 0.521 0.920 0.268
La5 La 0.551 0.665 0.725
La6 La 0.652 0.253 0.732
La7 La 0.747 0.479 0.399
La8 La 0.940 0.826 0.275
Pm1 Pm 0.020 0.718 0.895
Pm2 Pm 0.282 0.177 0.302
Pm3 Pm 0.500 0.500 0.000
Pm4 Pm 0.823 0.125 0.105
Pm5 Pm 0.875 0.980 0.698
Sc1 Sc 0.250 0.750 0.500
```

V	35.8	Å³ per atom
density of states at the Fermi level	1.6500	states/eV per atom
E_form	0.234	eV per atom
energy	-4.7301	eV per atom

***

(6)
# La9Pm2Sc

An optimized crystal structure of La9Pm2Sc (PBE-GGA, Alexandria via LeMat-Bulk).

CIF file:
```
data_La9Pm2Sc
_symmetry_space_group_name_H-M 'P 1'
_symmetry_Int_Tables_number 1
_cell_length_a 5.188
_cell_length_b 5.188
_cell_length_c 15.602
_cell_angle_alpha 90.00
_cell_angle_beta 90.00
_cell_angle_gamma 90.00
loop_
_symmetry_equiv_pos_as_xyz
'x,y,z'
loop_
_atom_site_label
_atom_site_type_symbol
_atom_site_fract_x
_atom_site_fract_y
_atom_site_fract_z
La1 La 0.000 0.000 0.000
La2 La 0.000 0.000 0.331
La3 La 0.000 0.000 0.669
La4 La 0.000 0.500 0.162
La5 La 0.000 0.500 0.500
La6 La 0.000 0.500 0.838
La7 La 0.500 0.000 0.162
La8 La 0.500 0.000 0.500
La9 La 0.500 0.000 0.838
Pm1 Pm 0.500 0.500 0.330
Pm2 Pm 0.500 0.500 0.670
Sc1 Sc 0.500 0.500 0.000
```

V	35.0	Å³ per atom
density of states at the Fermi level	1.4285	states/eV per atom
E_form	0.017	eV per atom
energy	-4.9983	eV per atom

***

(7)
# LaPm3Sc4

An optimized crystal structure of LaPm3Sc4 (PBE-GGA, Alexandria via LeMat-Bulk).

CIF file:
```
data_LaPm3Sc4
_symmetry_space_group_name_H-M 'P 1'
_symmetry_Int_Tables_number 1
_cell_length_a 10.861
_cell_length_b 7.455
_cell_length_c 5.871
_cell_angle_alpha 90.00
_cell_angle_beta 90.00
_cell_angle_gamma 90.00
loop_
_symmetry_equiv_pos_as_xyz
'x,y,z'
loop_
_atom_site_label
_atom_site_type_symbol
_atom_site_fract_x
_atom_site_fract_y
_atom_site_fract_z
La1 La 0.000 0.142 0.000
La2 La 0.500 0.858 0.500
Pm1 Pm 0.000 0.855 0.501
Pm2 Pm 0.249 0.147 0.380
Pm3 Pm 0.251 0.853 0.880
Pm4 Pm 0.500 0.145 0.001
Pm5 Pm 0.749 0.853 0.880
Pm6 Pm 0.751 0.147 0.380
Sc1 Sc 0.000 0.402 0.518
Sc2 Sc 0.000 0.600 0.019
Sc3 Sc 0.249 0.600 0.361
Sc4 Sc 0.251 0.400 0.861
Sc5 Sc 0.500 0.400 0.519
Sc6 Sc 0.500 0.598 0.018
Sc7 Sc 0.749 0.400 0.861
Sc8 Sc 0.751 0.600 0.361
```

V	29.7	Å³ per atom
density of states at the Fermi level	1.7929	states/eV per atom
E_form	0.061	eV per atom
energy	-5.5020	eV per atom

***

(8)
# La2PmSc

An optimized crystal structure of La2PmSc (PBE-GGA, Alexandria via LeMat-Bulk).

CIF file:
```
data_La2PmSc
_symmetry_space_group_name_H-M 'P 1'
_symmetry_Int_Tables_number 1
_cell_length_a 8.104
_cell_length_b 8.104
_cell_length_c 8.104
_cell_angle_alpha 90.00
_cell_angle_beta 90.00
_cell_angle_gamma 90.00
loop_
_symmetry_equiv_pos_as_xyz
'x,y,z'
loop_
_atom_site_label
_atom_site_type_symbol
_atom_site_fract_x
_atom_site_fract_y
_atom_site_fract_z
La1 La 0.250 0.250 0.250
La2 La 0.250 0.250 0.750
La3 La 0.250 0.750 0.250
La4 La 0.250 0.750 0.750
La5 La 0.750 0.250 0.250
La6 La 0.750 0.250 0.750
La7 La 0.750 0.750 0.250
La8 La 0.750 0.750 0.750
Pm1 Pm 0.000 0.000 0.000
Pm2 Pm 0.000 0.500 0.500
Pm3 Pm 0.500 0.000 0.500
Pm4 Pm 0.500 0.500 0.000
Sc1 Sc 0.000 0.000 0.500
Sc2 Sc 0.000 0.500 0.000
Sc3 Sc 0.500 0.000 0.000
Sc4 Sc 0.500 0.500 0.500
```

V	33.3	Å³ per atom
density of states at the Fermi level	1.9686	states/eV per atom
E_form	0.107	eV per atom
energy	-5.1275	eV per atom